First-principles (PBE) data for a geometry-optimized SrCaMoIr2 structure, as listed in Alexandria.

abc: 5.085 5.085 4.999
angles: 90.00 90.00 90.00
Atoms (fractional coordinates):
Sr (0.000, 0.000, 0.000)
Ca (0.500, 0.500, 0.500)
Mo (0.000, 0.000, 0.500)
Ir (0.000, 0.500, 0.000)
Ir (0.500, 0.000, 0.000)

The total energy is -21.99 eV per cell. Its space-group type is P4/mmm (123). For the formation energy from the elements, the calculation gives 2.05 eV per atom. The magnetization comes out at 3.48 μB per formula unit. As for the crystal system: tetragonal.